Here is Gd3Cd3Ag2Pd after structural relaxation from OQMD. Energies are from PBE.

Structure (POSCAR):
```
Gd3Cd3Ag2Pd
1.0
7.7307 0.0000 0.0000
-3.8653 6.6950 0.0000
0.0000 0.0000 3.9964
Ag Gd Cd Pd
2 3 3 1
direct
0.6667 0.3333 0.5000
0.3333 0.6667 0.5000
0.6035 0.0000 0.0000
0.0000 0.6035 0.0000
0.3965 0.3965 0.0000
0.2557 0.0000 0.5000
0.7443 0.7443 0.5000
0.0000 0.2557 0.5000
0.0000 0.0000 0.0000
```

Summary:
Total moment = 0.0 μB/cell
Space-group type = P-62m
Formation energy from the elements = -438 meV per atom


Here is Pr2GdCd3Ag3 after structural relaxation from OQMD. Energies are from PBE.

Structure (POSCAR):
```
Pr2GdCd3Ag3
1.0
-3.4908 0.1787 1.9944
3.8189 -1.5920 6.8269
-0.9577 7.5673 -2.3544
Ag Cd Pr Gd
3 3 2 1
direct
0.0000 0.9977 0.9977
0.5000 0.3384 0.6652
0.5000 0.6652 0.3384
0.5000 0.7403 0.9970
0.5000 0.2616 0.2616
0.5000 0.9970 0.7403
0.0000 0.0000 0.4056
0.0000 0.4056 0.0000
0.0000 0.5942 0.5942
```

Summary:
Total moment = 0.0 μB/cell
Space-group type = Amm2
Formation energy from the elements = -334 meV per atom


Here is PrGd2Cd3Ag3 after structural relaxation from OQMD. Energies are from PBE.

Structure (POSCAR):
```
PrGd2Cd3Ag3
1.0
-1.1404 -0.3349 3.8016
2.4659 -7.5497 0.0746
4.9854 5.8469 2.0107
Pr Cd Gd Ag
1 3 2 3
direct
0.0000 0.5948 0.5948
0.5000 0.2586 0.2586
0.5000 0.7393 0.0029
0.5000 0.0029 0.7393
0.0000 0.4054 0.0001
0.0000 0.0001 0.4054
0.0000 0.0019 0.0019
0.5000 0.6679 0.3290
0.5000 0.3290 0.6679
```

Summary:
Total moment = 0.0 μB/cell
Space-group type = Amm2
Formation energy from the elements = -337 meV per atom


Here is GdCdAgSe3 after structural relaxation from OQMD. Energies are from PBE.

Structure (POSCAR):
```
GdCdAgSe3
1.0
-1.9952 2.6698 -7.0450
1.1730 -3.5077 -1.6615
-8.1453 -4.0417 2.7823
Se Gd Cd Ag
6 2 2 2
direct
0.2959 0.7500 0.0145
0.4093 0.7500 0.6449
0.5907 0.2500 0.3551
0.9421 0.7500 0.6524
0.7041 0.2500 0.9855
0.0579 0.2500 0.3476
0.3135 0.7500 0.3282
0.6865 0.2500 0.6718
0.7734 0.7500 0.2154
0.2266 0.2500 0.7846
0.9007 0.7500 0.9198
0.0993 0.2500 0.0802
```

Summary:
Total moment = 0.0 μB/cell
E = -4.026 eV/atom
Space-group type = P2_1/m


Here is Tb2GdCd3Ag3 after structural relaxation from OQMD. Energies are from PBE.

Structure (POSCAR):
```
Tb2GdCd3Ag3
1.0
3.9211 0.0000 0.0000
0.0000 6.8253 3.9379
0.0000 -6.8253 3.9379
Ag Cd Gd Tb
3 3 1 2
direct
0.5000 0.3326 0.6669
0.0000 0.0003 0.0003
0.5000 0.6669 0.3326
0.5000 0.0004 0.7370
0.5000 0.7370 0.0004
0.5000 0.2626 0.2626
0.0000 0.5956 0.5956
0.0000 0.0000 0.4045
0.0000 0.4045 0.0000
```

Summary:
Total moment = 0.0 μB/cell
Space-group type = Amm2
Formation energy from the elements = -340 meV per atom


Here is CdAgGe2 after structural relaxation from OQMD. Energies are from PBE.

Structure (POSCAR):
```
CdAgGe2
1.0
0.0000 3.4300 3.4300
3.4300 0.0000 3.4300
3.4300 3.4300 0.0000
Ag Ge Cd
1 2 1
direct
0.7500 0.7500 0.7500
0.5000 0.5000 0.5000
0.2500 0.2500 0.2500
0.0000 0.0000 0.0000
```

Summary:
E = -3.008 eV/atom
Space-group type = F-43m


Here is Cd2AgGe after structural relaxation from OQMD. Energies are from PBE.

Structure (POSCAR):
```
Cd2AgGe
1.0
2.9239 -2.8185 -2.7466
-1.1985 -4.6770 -0.8523
-1.4332 -1.3862 -4.4790
Ge Ag Cd
1 1 2
direct
0.5000 0.5000 0.5000
0.2500 0.2500 0.2500
0.0000 0.0000 0.0000
0.7500 0.7500 0.7500
```

Summary:
E = -2.150 eV/atom
Space-group type = F-43m


Here is CdAg2Ge after structural relaxation from OQMD. Energies are from PBE.

Structure (POSCAR):
```
CdAg2Ge
1.0
-1.1220 -4.6276 0.5246
-3.5359 -1.9172 -2.6020
1.0151 -3.1212 -3.4894
Ag Cd Ge
2 1 1
direct
0.0000 0.0000 0.0000
0.7500 0.7500 0.7500
0.2500 0.2500 0.2500
0.5000 0.5000 0.5000
```

Summary:
E = -2.656 eV/atom
Space-group type = F-43m


Here is CdAgGe after structural relaxation from OQMD. Energies are from PBE.

Structure (POSCAR):
```
CdAgGe
1.0
1.6977 -2.5190 3.4152
2.2161 2.0221 3.4484
-1.9117 0.1880 4.1475
Ag Cd Ge
1 1 1
direct
0.2500 0.2500 0.2500
0.0000 0.0000 0.0000
0.7500 0.7500 0.7500
```

Summary:
E = -2.533 eV/atom
Space-group type = F-43m


Here is CdAg4Ge2S7 after structural relaxation from OQMD. Energies are from PBE.

Structure (POSCAR):
```
CdAg4Ge2S7
1.0
0.0000 -6.9198 0.0000
8.8783 3.4599 0.0279
-0.6373 0.0000 10.6164
S Ge Cd Ag
14 4 2 8
direct
0.8643 0.0623 0.5945
0.9134 0.4617 0.6407
0.5352 0.6697 0.5158
0.5483 0.4617 0.1407
0.7811 0.2245 0.9150
0.4434 0.2245 0.4150
0.5949 0.9203 0.2022
0.0326 0.3330 0.2856
0.7065 0.7714 0.8401
0.3004 0.3330 0.7856
0.1980 0.0623 0.0945
0.3254 0.9203 0.7022
0.1344 0.6697 0.0158
0.0648 0.7714 0.3401
0.9659 0.2756 0.7429
0.2520 0.8546 0.1684
0.6026 0.8546 0.6684
0.3097 0.2756 0.2429
0.6729 0.7004 0.2883
0.0275 0.7004 0.7883
0.5262 0.4207 0.5990
0.8172 0.9940 0.0014
0.3998 0.5529 0.9490
0.8946 0.4207 0.0990
0.7364 0.1241 0.3839
0.1531 0.5529 0.4490
0.1769 0.9940 0.5014
0.3876 0.1241 0.8839
```

Summary:
E = -3.890 eV/atom
Space-group type = Cc


Here is CdAg2GeTe4 after structural relaxation from OQMD. Energies are from PBE.

Structure (POSCAR):
```
CdAg2GeTe4
1.0
-3.2093 3.2093 6.4500
3.2093 -3.2093 6.4500
3.2093 3.2093 -6.4500
Cd Te Ag Ge
1 4 2 1
direct
0.0000 0.0000 0.0000
0.3914 0.8583 0.0000
0.8583 0.3914 0.0000
0.1417 0.1417 0.5331
0.6086 0.6086 0.4669
0.7500 0.2500 0.5000
0.2500 0.7500 0.5000
0.5000 0.5000 0.0000
```

Summary:
E = -3.147 eV/atom
Space-group type = I-42m


Here is CdAgHPd2 after structural relaxation from OQMD. Energies are from PBE.

Structure (POSCAR):
```
CdAgHPd2
1.0
4.1103 0.0000 0.0000
0.0000 4.1103 0.0000
0.0000 0.0000 4.1459
Cd H Pd Ag
1 1 2 1
direct
0.5000 0.5000 0.5000
0.0000 0.0000 0.0000
0.0000 0.5000 0.0000
0.5000 0.0000 0.0000
0.0000 0.0000 0.5000
```

Summary:
E = -3.713 eV/atom
Space-group type = P4/mmm


Here is HfCdAg after structural relaxation from OQMD. Energies are from PBE.

Structure (POSCAR):
```
HfCdAg
1.0
-2.4036 2.2380 -0.6591
-2.2924 -2.0897 1.2641
1.3632 4.2721 9.5345
Hf Ag Cd
2 2 2
direct
0.5000 0.5000 0.5000
0.0000 0.0000 0.0000
0.5000 0.5000 0.8367
0.5000 0.5000 0.1633
0.0000 0.0000 0.3194
0.0000 0.0000 0.6806
```

Summary:
Total moment = 0.4 μB/cell
Space-group type = P4/mmm
Formation energy from the elements = 52 meV per atom


Here is HfCdAg after structural relaxation from OQMD. Energies are from PBE.

Structure (POSCAR):
```
HfCdAg
1.0
-1.2107 -1.4392 4.1668
-1.2567 3.0261 3.1879
-4.3691 0.2450 1.3230
Cd Ag Hf
1 1 1
direct
0.2500 0.2500 0.2500
0.0000 0.0000 0.0000
0.7500 0.7500 0.7500
```

Summary:
Total moment = 0.0 μB/cell
Space-group type = F-43m
Formation energy from the elements = 282 meV per atom


Here is HfCdAg after structural relaxation from OQMD. Energies are from PBE.

Structure (POSCAR):
```
HfCdAg
1.0
0.0000 3.2972 3.2972
3.2972 0.0000 3.2972
3.2972 3.2972 0.0000
Hf Ag Cd
1 1 1
direct
0.0000 0.0000 0.0000
0.2500 0.2500 0.2500
0.7500 0.7500 0.7500
```

Summary:
Total moment = 0.0 μB/cell
Space-group type = F-43m
Formation energy from the elements = 568 meV per atom


Here is HfCdAg after structural relaxation from OQMD. Energies are from PBE.

Structure (POSCAR):
```
HfCdAg
1.0
-0.2659 -3.3615 -0.1637
1.3213 0.0467 -3.1063
9.5954 -0.9570 4.0671
Ag Hf Cd
2 2 2
direct
0.5000 0.0000 0.9267
0.0000 0.5000 0.0733
0.5000 0.0000 0.2288
0.0000 0.5000 0.7712
0.0000 0.5000 0.4141
0.5000 0.0000 0.5859
```

Summary:
Total moment = 0.1 μB/cell
Space-group type = P4/nmm
Formation energy from the elements = 58 meV per atom


Here is Hf2CdAg2 after structural relaxation from OQMD. Energies are from PBE.

Structure (POSCAR):
```
Hf2CdAg2
1.0
-2.0056 2.0056 6.8190
2.0056 -2.0056 6.8190
2.0056 2.0056 -6.8190
Cd Hf Ag
1 2 2
direct
0.0000 0.0000 0.0000
0.3975 0.3975 0.0000
0.6025 0.6025 0.0000
0.7500 0.2500 0.5000
0.2500 0.7500 0.5000
```

Summary:
Total moment = 1.1 μB/cell
Space-group type = I4/mmm
Formation energy from the elements = 479 meV per atom


Here is Hf2Cd2Ag after structural relaxation from OQMD. Energies are from PBE.

Structure (POSCAR):
```
Hf2Cd2Ag
1.0
2.9046 -2.9046 0.0000
2.9046 2.9046 0.0000
-2.9046 0.0000 6.7325
Cd Hf Ag
2 2 1
direct
0.5953 0.5953 0.1907
0.4047 0.4047 0.8093
0.7500 0.2500 0.5000
0.2500 0.7500 0.5000
0.0000 0.0000 0.0000
```

Summary:
Total moment = 0.0 μB/cell
Space-group type = I4/mmm
Formation energy from the elements = 459 meV per atom


Here is HfCdAg after structural relaxation from OQMD. Energies are from PBE.

Structure (POSCAR):
```
HfCdAg
1.0
-1.6772 1.6772 5.2433
1.6772 -1.6772 5.2433
1.6772 1.6772 -5.2433
Hf Cd Ag
1 1 1
direct
0.0031 0.0031 0.0000
0.3260 0.3260 0.0000
0.6709 0.6709 0.0000
```

Summary:
Total moment = 0.0 μB/cell
Space-group type = I4mm
Formation energy from the elements = 57 meV per atom


Here is HfCd2Ag2 after structural relaxation from OQMD. Energies are from PBE.

Structure (POSCAR):
```
HfCd2Ag2
1.0
2.4952 -5.6244 -3.3772
2.7715 -6.0330 2.2775
-5.2180 4.6571 0.5914
Ag Hf Cd
2 1 2
direct
0.2500 0.7500 0.5000
0.7500 0.2500 0.5000
0.0000 0.0000 0.0000
0.3975 0.3975 0.0000
0.6025 0.6025 0.0000
```

Summary:
Total moment = 0.0 μB/cell
Space-group type = I4/mmm
Formation energy from the elements = 267 meV per atom


Here is NdHo2Cd3AgHg2 after structural relaxation from OQMD. Energies are from PBE.

Structure (POSCAR):
```
NdHo2Cd3AgHg2
1.0
4.0884 0.0000 0.0000
0.0000 6.8388 3.9240
0.0000 -6.8388 3.9240
Hg Cd Ho Ag Nd
2 3 2 1 1
direct
0.5000 0.6726 0.3308
0.5000 0.3308 0.6726
0.5000 0.9998 0.2524
0.5000 0.2524 0.9998
0.5000 0.7469 0.7469
0.0000 0.0004 0.5957
0.0000 0.5957 0.0004
0.0000 0.9948 0.9948
0.0000 0.4066 0.4066
```

Summary:
Total moment = 0.0 μB/cell
Space-group type = Amm2
Formation energy from the elements = -392 meV per atom


Here is PrHo2Cd3AgHg2 after structural relaxation from OQMD. Energies are from PBE.

Structure (POSCAR):
```
PrHo2Cd3AgHg2
1.0
4.1113 0.0000 0.0000
0.0000 6.8544 3.9303
0.0000 -6.8544 3.9303
Cd Hg Ag Ho Pr
3 2 1 2 1
direct
0.0000 0.9994 0.2515
0.0000 0.7479 0.7479
0.0000 0.2515 0.9994
0.0000 0.6737 0.3303
0.0000 0.3303 0.6737
0.5000 0.9940 0.9940
0.5000 0.0005 0.5956
0.5000 0.5956 0.0005
0.5000 0.4071 0.4071
```

Summary:
Total moment = 0.0 μB/cell
Space-group type = Amm2
Formation energy from the elements = -389 meV per atom


Here is Nd3Cd2AgHgIr2 after structural relaxation from OQMD. Energies are from PBE.

Structure (POSCAR):
```
Nd3Cd2AgHgIr2
1.0
3.9629 0.0000 0.0000
0.0000 6.7300 3.9167
0.0000 -6.7300 3.9167
Ag Cd Hg Nd Ir
1 2 1 3 2
direct
0.0000 0.9952 0.9952
0.5000 0.7381 0.9987
0.5000 0.9987 0.7381
0.5000 0.2616 0.2616
0.0000 0.0015 0.4144
0.0000 0.5811 0.5811
0.0000 0.4144 0.0015
0.5000 0.6737 0.3356
0.5000 0.3356 0.6737
```

Summary:
Total moment = 0.0 μB/cell
Space-group type = Amm2
Formation energy from the elements = -486 meV per atom


Here is Pr3CdAgHg2Ir2 after structural relaxation from OQMD. Energies are from PBE.

Structure (POSCAR):
```
Pr3CdAgHg2Ir2
1.0
-0.5301 0.3589 -3.9121
-5.9146 -5.2009 0.3243
-1.4039 7.7046 0.8971
Ir Pr Hg Ag Cd
2 3 2 1 1
direct
0.5000 0.3309 0.6589
0.5000 0.6589 0.3309
0.0000 0.5899 0.5899
0.0000 0.9984 0.4150
0.0000 0.4150 0.9984
0.5000 0.7372 0.0018
0.5000 0.0018 0.7372
0.0000 0.0047 0.0047
0.5000 0.2631 0.2631
```

Summary:
Total moment = 0.0 μB/cell
Space-group type = Amm2
Formation energy from the elements = -475 meV per atom


Here is LiCdAgHg after structural relaxation from OQMD. Energies are from PBE.

Structure (POSCAR):
```
LiCdAgHg
1.0
0.0000 3.3672 3.3672
3.3672 0.0000 3.3672
3.3672 3.3672 0.0000
Li Hg Cd Ag
1 1 1 1
direct
0.7500 0.7500 0.7500
0.2500 0.2500 0.2500
0.0000 0.0000 0.0000
0.5000 0.5000 0.5000
```

Summary:
Space-group type = F-43m
E above lowest polymorph = 29.1 meV/atom


Here is LiCdAgHg after structural relaxation from OQMD. Energies are from PBE.

Structure (POSCAR):
```
LiCdAgHg
1.0
0.0000 3.3601 3.3601
3.3601 0.0000 3.3601
3.3601 3.3601 0.0000
Hg Cd Li Ag
1 1 1 1
direct
0.0000 0.0000 0.0000
0.5000 0.5000 0.5000
0.7500 0.7500 0.7500
0.2500 0.2500 0.2500
```

Summary:
Space-group type = F-43m
E above lowest polymorph = 0.0 meV/atom